Below is a relaxed SmNiOs crystal, with properties calculated at the PBE level.

```
SmNiOs
1.0
6.3307 0.0000 0.0000
0.0000 6.3307 0.0000
0.0000 0.0000 6.3307
Sm Ni Os
4 4 4
Direct
0.0000 0.0000 0.0000
0.0000 0.5000 0.5000
0.5000 0.0000 0.5000
0.5000 0.5000 0.0000
0.2500 0.2500 0.7500
0.2500 0.7500 0.2500
0.7500 0.2500 0.2500
0.7500 0.7500 0.7500
0.2500 0.2500 0.2500
0.2500 0.7500 0.7500
0.7500 0.2500 0.7500
0.7500 0.7500 0.2500
```

## Properties
As for the final energy: -5.99 eV/atom. As for the total magnetization: 0.12 μB per formula unit. The calculation puts the formation energy at 1.174 eV/atom.

=====

Below is a relaxed Ni2SnOs crystal, with properties calculated at the PBE level.

```
Ni2SnOs
1.0
6.1065 0.0000 0.0000
0.0000 6.1065 0.0000
0.0000 0.0000 6.1065
Ni Sn Os
8 4 4
Direct
0.0000 0.0000 0.0000
0.0000 0.5000 0.5000
0.2500 0.2500 0.2500
0.2500 0.7500 0.7500
0.5000 0.0000 0.5000
0.5000 0.5000 0.0000
0.7500 0.2500 0.7500
0.7500 0.7500 0.2500
0.0000 0.0000 0.5000
0.0000 0.5000 0.0000
0.5000 0.0000 0.0000
0.5000 0.5000 0.5000
0.2500 0.2500 0.7500
0.2500 0.7500 0.2500
0.7500 0.2500 0.2500
0.7500 0.7500 0.7500
```

## Properties
As for the final energy: -6.37 eV/atom. As for the total magnetization: 0.97 μB per formula unit.

=====

Below is a relaxed NiSnOs2 crystal, with properties calculated at the PBE level.

```
NiSnOs2
1.0
6.2185 0.0000 0.0000
0.0000 6.2185 0.0000
0.0000 0.0000 6.2185
Ni Sn Os
4 4 8
Direct
0.0000 0.0000 0.0000
0.0000 0.5000 0.5000
0.5000 0.0000 0.5000
0.5000 0.5000 0.0000
0.2500 0.2500 0.7500
0.2500 0.7500 0.2500
0.7500 0.2500 0.2500
0.7500 0.7500 0.7500
0.0000 0.0000 0.5000
0.0000 0.5000 0.0000
0.2500 0.2500 0.2500
0.2500 0.7500 0.7500
0.5000 0.0000 0.0000
0.5000 0.5000 0.5000
0.7500 0.2500 0.7500
0.7500 0.7500 0.2500
```

## Properties
As for the final energy: -7.52 eV/atom. As for the total magnetization: 0.01 μB per formula unit.

=====

Below is a relaxed Ta2NiSn2Os crystal, with properties calculated at the PBE level.

```
Ta2NiSn2Os
1.0
-3.0711 3.0711 6.1088
3.0711 -3.0711 6.1088
3.0711 3.0711 -6.1088
Ta Ni Sn Os
4 2 4 2
Direct
0.1226 0.6250 0.9976
0.3750 0.3726 0.4976
0.6274 0.1250 0.0024
0.8750 0.8774 0.5024
0.2500 0.7500 0.5000
0.5000 0.5000 0.0000
0.1402 0.1250 0.5152
0.3750 0.8598 0.9848
0.6098 0.6250 0.4848
0.8750 0.3902 0.0152
0.0000 0.0000 0.0000
0.7500 0.2500 0.5000
```

## Properties
As for the final energy: -8.28 eV/atom. As for the total magnetization: 0.00 μB per formula unit.

=====

Below is a relaxed Sr3Ni2Os2 crystal, with properties calculated at the PBE level.

```
Sr3Ni2Os2
1.0
2.0642 1.1917 12.7336
-2.0642 1.1917 12.7336
0.0000 -2.3835 12.7336
Sr Ni Os
3 2 2
Direct
0.0000 0.0000 0.0000
0.2336 0.2336 0.2336
0.7613 0.7613 0.7613
0.4927 0.4927 0.4927
0.8361 0.8361 0.8361
0.1525 0.1525 0.1525
0.6188 0.6188 0.6188
```

## Properties
As for the final energy: -5.02 eV/atom. As for the total magnetization: 0.23 μB per formula unit.

=====

Below is a relaxed SrNiOs2 crystal, with properties calculated at the PBE level.

```
SrNiOs2
1.0
6.4496 0.0000 0.0000
0.0000 6.4496 0.0000
0.0000 0.0000 6.4496
Sr Ni Os
4 4 8
Direct
0.0000 0.0000 0.0000
0.0000 0.5000 0.5000
0.5000 0.0000 0.5000
0.5000 0.5000 0.0000
0.2500 0.2500 0.2500
0.2500 0.7500 0.7500
0.7500 0.2500 0.7500
0.7500 0.7500 0.2500
0.0000 0.0000 0.5000
0.0000 0.5000 0.0000
0.2500 0.2500 0.7500
0.2500 0.7500 0.2500
0.5000 0.0000 0.0000
0.5000 0.5000 0.5000
0.7500 0.2500 0.2500
0.7500 0.7500 0.7500
```

## Properties
As for the final energy: -6.49 eV/atom. As for the total magnetization: 0.04 μB per formula unit.

=====

Below is a relaxed Ta2Ni2Os crystal, with properties calculated at the PBE level.

```
Ta2Ni2Os
1.0
6.7203 0.0000 0.0000
0.0000 6.7203 0.0000
0.0000 0.0000 3.1513
Ta Ni Os
4 4 2
Direct
0.1810 0.3190 0.0000
0.3190 0.8190 0.0000
0.6810 0.1810 0.0000
0.8190 0.6810 0.0000
0.1219 0.6219 0.5000
0.3781 0.1219 0.5000
0.6219 0.8781 0.5000
0.8781 0.3781 0.5000
0.0000 0.0000 0.5000
0.5000 0.5000 0.5000
```

## Properties
As for the final energy: -9.47 eV/atom. As for the total magnetization: 0.00 μB per formula unit. The calculation puts the formation energy at -0.256 eV/atom.

=====

Below is a relaxed TaZnNiOs crystal, with properties calculated at the PBE level.

```
TaZnNiOs
1.0
6.1511 0.0000 0.0000
0.0000 6.1511 0.0000
0.0000 0.0000 6.1511
Ta Zn Ni Os
4 4 4 4
Direct
0.0000 0.0000 0.0000
0.0000 0.5000 0.5000
0.5000 0.0000 0.5000
0.5000 0.5000 0.0000
0.2500 0.2500 0.2500
0.2500 0.7500 0.7500
0.7500 0.2500 0.7500
0.7500 0.7500 0.2500
0.0000 0.0000 0.5000
0.0000 0.5000 0.0000
0.5000 0.0000 0.0000
0.5000 0.5000 0.5000
0.2500 0.2500 0.7500
0.2500 0.7500 0.2500
0.7500 0.2500 0.2500
0.7500 0.7500 0.7500
```

## Properties
As for the final energy: -7.38 eV/atom. As for the total magnetization: 0.02 μB per formula unit. The calculation puts the formation energy at 0.099 eV/atom.